Compound: ZnGa6Ag12
Source: Alexandria via LeMat-Bulk
Functional: PBE
Structure: optimized geometry

Values from the calculation:
Energy relative to the elements: 30.0 kJ/mol of formula units
Distance to the lowest polymorph of the same formula: 16 meV per atom
Fermi-level density of states: 4.701 states/eV/f.u.
DFT total energy: -2.81 eV/atom

Cell lengths 7.421, 7.421, 7.421 Å; angles 106.27, 106.27, 106.27 degrees
Sites, in units of the cell vectors:
1 Zn 0.000 0.000 0.000
2 Ga 0.256 0.383 0.678
3 Ga 0.322 0.744 0.617
4 Ga 0.383 0.678 0.256
5 Ga 0.617 0.322 0.744
6 Ga 0.678 0.256 0.383
7 Ga 0.744 0.617 0.322
8 Ag 0.003 0.321 0.865
9 Ag 0.086 0.381 0.300
10 Ag 0.135 0.997 0.679
11 Ag 0.300 0.086 0.381
12 Ag 0.321 0.865 0.003
13 Ag 0.381 0.300 0.086
14 Ag 0.619 0.700 0.914
15 Ag 0.679 0.135 0.997
16 Ag 0.700 0.914 0.619
17 Ag 0.865 0.003 0.321
18 Ag 0.914 0.619 0.700
19 Ag 0.997 0.679 0.135

---

Compound: Tb4PuSi4
Source: Alexandria via LeMat-Bulk
Functional: PBE
Structure: optimized geometry

Values from the calculation:
Formation energy without anion corrections: -0.3965 eV/atom
Fermi-level density of states: 13.653 states/eV/f.u.
DFT total energy: -6.46 eV/atom

Cell lengths 8.873, 8.873, 5.790 Å; angles 90.00, 90.00, 90.00 degrees
Sites, in units of the cell vectors:
1 Tb 0.057 0.669 0.119
2 Tb 0.169 0.943 0.619
3 Tb 0.331 0.557 0.619
4 Tb 0.443 0.831 0.119
5 Tb 0.557 0.169 0.881
6 Tb 0.669 0.443 0.381
7 Tb 0.831 0.057 0.381
8 Tb 0.943 0.331 0.881
9 Pu 0.250 0.250 0.250
10 Pu 0.750 0.750 0.750
11 Si 0.016 0.618 0.613
12 Si 0.118 0.984 0.113
13 Si 0.382 0.516 0.113
14 Si 0.484 0.882 0.613
15 Si 0.516 0.118 0.387
16 Si 0.618 0.484 0.887
17 Si 0.882 0.016 0.887
18 Si 0.984 0.382 0.387

---

Compound: HgPb3Au2
Source: Alexandria via LeMat-Bulk
Functional: PBE
Structure: optimized geometry

Values from the calculation:
Energy relative to the elements: -15.7 kJ/mol of formula units
Fermi-level density of states: 2.593 states/eV/f.u.
DFT total energy: -3.02 eV/atom

Cell lengths 7.398, 7.398, 7.398 Å; angles 67.51, 67.51, 67.51 degrees
Sites, in units of the cell vectors:
1 Hg 0.000 0.000 0.000
2 Hg 0.500 0.500 0.500
3 Pb 0.070 0.750 0.430
4 Pb 0.250 0.570 0.930
5 Pb 0.430 0.070 0.750
6 Pb 0.570 0.930 0.250
7 Pb 0.750 0.430 0.070
8 Pb 0.930 0.250 0.570
9 Au 0.165 0.165 0.165
10 Au 0.335 0.335 0.335
11 Au 0.665 0.665 0.665
12 Au 0.835 0.835 0.835

---

Compound: Ni12Ge3Ir
Source: Alexandria via LeMat-Bulk
Functional: PBE
Structure: optimized geometry

Values from the calculation:
Energy relative to the elements: -285.4 kJ/mol of formula units
Fermi-level density of states: 16.238 states/eV/f.u.
DFT total energy: -5.94 eV/atom

Cell lengths 3.591, 3.591, 14.348 Å; angles 90.00, 90.00, 90.00 degrees
Sites, in units of the cell vectors:
1 Ni 0.000 0.000 0.000
2 Ni 0.000 0.000 0.249
3 Ni 0.000 0.000 0.500
4 Ni 0.000 0.000 0.751
5 Ni 0.000 0.500 0.124
6 Ni 0.000 0.500 0.373
7 Ni 0.000 0.500 0.627
8 Ni 0.000 0.500 0.876
9 Ni 0.500 0.000 0.124
10 Ni 0.500 0.000 0.373
11 Ni 0.500 0.000 0.627
12 Ni 0.500 0.000 0.876
13 Ge 0.500 0.500 0.000
14 Ge 0.500 0.500 0.248
15 Ge 0.500 0.500 0.752
16 Ir 0.500 0.500 0.500

---

What is the Fermi-level density of states in the third record?
2.593 states/eV/f.u.

---

Among the records above, which one has the highest Fermi-level density of states?
Ni12Ge3Ir